# CuIrSe2 GGA-PBE optimized geometry
data_CuIrSe2
_chemical_formula_sum 'Cu2 Ir2 Se4'
_symmetry_space_group_name_H-M 'I m m m'
_symmetry_Int_Tables_number 71
_symmetry_space_group_name_Hall '-I 2 2'
_cell_length_a 3.7027
_cell_length_b 3.8693
_cell_length_c 11.9581
_cell_angle_alpha 90.00
_cell_angle_beta 90.00
_cell_angle_gamma 90.00
loop_
_atom_site_label
_atom_site_type_symbol
_atom_site_fract_x
_atom_site_fract_y
_atom_site_fract_z
_atom_site_occupancy
Cu1 Cu 0.0000 0.0000 0.0000 1
Ir1 Ir 0.0000 0.0000 0.5000 1
Se1 Se 0.0000 0.5000 0.1377 1
# D(E_F): 2.73 states/eV/f.u.
# Uncorrected energy: -4.990 eV/atom
# Spin magnetization: 0.00 μB/cell
# Calculated volume: 21.42 Å³ per atom